A.
The following is a PBE calculation of crystalline ReGePO at its relaxed geometry, from OQMD.

Geometry as CIF:
```
data_ReGePO
_chemical_formula_sum 'Re2 Ge2 P2 O2'
_cell_length_a 3.3385
_cell_length_b 3.3385
_cell_length_c 10.1903
_cell_angle_alpha 90.00
_cell_angle_beta 90.00
_cell_angle_gamma 90.00
_symmetry_space_group_name_H-M 'P 4/n m m'
_symmetry_Int_Tables_number 129
loop_
_symmetry_equiv_pos_as_xyz
'x,y,z'
'-x,-y,-z'
'-y+1/2,x,z'
'y+1/2,-x,-z'
'-x+1/2,-y+1/2,z'
'x+1/2,y+1/2,-z'
'y,-x+1/2,z'
'-y,x+1/2,-z'
'x+1/2,-y,-z'
'-x+1/2,y,z'
'-y,-x,-z'
'y,x,z'
'-x,y+1/2,-z'
'x,-y+1/2,z'
'y+1/2,x+1/2,-z'
'-y+1/2,-x+1/2,z'
loop_
_atom_site_label
_atom_site_fract_x
_atom_site_fract_y
_atom_site_fract_z
Re1 0.2500 0.2500 0.1305
Ge1 0.2500 0.7500 0.5000
P1 0.2500 0.2500 0.7514
O1 0.2500 0.7500 0.0000
```

V in Å³ per cell: 113.57

=====

B.
The following is a PBE calculation of crystalline ReGePO at its relaxed geometry, from OQMD.

Geometry as CIF:
```
data_ReGePO
_chemical_formula_sum 'Re2 Ge2 P2 O2'
_cell_length_a 2.9110
_cell_length_b 6.0258
_cell_length_c 6.6250
_cell_angle_alpha 90.00
_cell_angle_beta 90.00
_cell_angle_gamma 90.00
_symmetry_space_group_name_H-M 'P m c 21'
_symmetry_Int_Tables_number 26
_symmetry_space_group_name_Hall 'P 2c -2'
loop_
_atom_site_label
_atom_site_fract_x
_atom_site_fract_y
_atom_site_fract_z
Re1 0.0000 0.2122 0.0000
Ge1 0.5000 0.4203 0.5314
P1 0.0000 0.1369 0.3414
O1 0.5000 0.2787 0.7810
```

V in Å³ per cell: 116.21

=====

C.
The following is a PBE calculation of crystalline ReGePO at its relaxed geometry, from OQMD.

Geometry as CIF:
```
data_ReGePO
_chemical_formula_sum 'Re2 Ge2 P2 O2'
_cell_length_a 3.5823
_cell_length_b 6.8166
_cell_length_c 5.2004
_cell_angle_alpha 90.00
_cell_angle_beta 90.00
_cell_angle_gamma 90.00
_symmetry_space_group_name_H-M 'P m c 21'
_symmetry_Int_Tables_number 26
_symmetry_space_group_name_Hall 'P 2c -2'
loop_
_atom_site_label
_atom_site_fract_x
_atom_site_fract_y
_atom_site_fract_z
Re1 0.0000 0.0472 0.0000
Ge1 0.5000 0.3900 0.4014
P1 0.5000 0.1650 0.7682
O1 0.0000 0.2379 0.3117
```

V in Å³ per cell: 126.99

=====

D.
The following is a PBE calculation of crystalline ReGePO at its relaxed geometry, from OQMD.

Geometry as CIF:
```
data_ReGePO
_chemical_formula_sum 'Re2 Ge2 P2 O2'
_cell_length_a 3.6757
_cell_length_b 3.6757
_cell_length_c 9.6485
_cell_angle_alpha 90.00
_cell_angle_beta 90.00
_cell_angle_gamma 90.00
_symmetry_space_group_name_H-M 'P 4/n m m'
_symmetry_Int_Tables_number 129
loop_
_symmetry_equiv_pos_as_xyz
'x,y,z'
'-x,-y,-z'
'-y+1/2,x,z'
'y+1/2,-x,-z'
'-x+1/2,-y+1/2,z'
'x+1/2,y+1/2,-z'
'y,-x+1/2,z'
'-y,x+1/2,-z'
'x+1/2,-y,-z'
'-x+1/2,y,z'
'-y,-x,-z'
'y,x,z'
'-x,y+1/2,-z'
'x,-y+1/2,z'
'y+1/2,x+1/2,-z'
'-y+1/2,-x+1/2,z'
loop_
_atom_site_label
_atom_site_fract_x
_atom_site_fract_y
_atom_site_fract_z
Re1 0.2500 0.7500 0.0000
Ge1 0.2500 0.2500 0.3945
P1 0.2500 0.2500 0.8287
O1 0.2500 0.7500 0.5000
```

V in Å³ per cell: 130.36

=====

It is D that is the most stable of them.

=====

A.
The following is a PBE calculation of crystalline GePtPb2O6 at its relaxed geometry, from OQMD.

Geometry as CIF:
```
data_GePtPb2O6
_chemical_formula_sum 'Ge2 Pt2 Pb4 O12'
_cell_length_a 5.5767
_cell_length_b 5.5767
_cell_length_c 7.9172
_cell_angle_alpha 90.00
_cell_angle_beta 90.00
_cell_angle_gamma 90.00
_symmetry_space_group_name_H-M 'I 4/m m m'
_symmetry_Int_Tables_number 139
_symmetry_space_group_name_Hall '-I 4 2'
loop_
_atom_site_label
_atom_site_fract_x
_atom_site_fract_y
_atom_site_fract_z
Ge1 0.0000 0.0000 0.0000
Pt1 0.0000 0.0000 0.5000
Pb1 0.0000 0.5000 0.2500
O1 0.0000 0.0000 0.2424
O2 0.2424 0.2424 0.0000
```

V in Å³ per cell: 246.22

=====

B.
The following is a PBE calculation of crystalline GePtPb2O6 at its relaxed geometry, from OQMD.

Geometry as CIF:
```
data_GePtPb2O6
_chemical_formula_sum 'Ge3 Pt3 Pb6 O18'
_cell_length_a 5.6583
_cell_length_b 5.6583
_cell_length_c 13.3713
_cell_angle_alpha 90.00
_cell_angle_beta 90.00
_cell_angle_gamma 120.00
_symmetry_space_group_name_H-M 'R -3'
_symmetry_Int_Tables_number 148
_symmetry_space_group_name_Hall '-R 3'
loop_
_atom_site_label
_atom_site_fract_x
_atom_site_fract_y
_atom_site_fract_z
Ge1 0.0000 0.0000 0.0000
Pt1 0.0000 0.0000 0.5000
Pb1 0.0000 0.0000 0.2486
O1 0.0141 0.4420 0.7488
```

V in Å³ per cell: 370.74

=====

It is B that is the most stable of them.

=====

A.
The following is a PBE calculation of crystalline ReGePb2O6 at its relaxed geometry, from OQMD.

Geometry as CIF:
```
data_ReGePb2O6
_chemical_formula_sum 'Re2 Ge2 Pb4 O12'
_cell_length_a 5.5774
_cell_length_b 5.5774
_cell_length_c 7.9092
_cell_angle_alpha 90.00
_cell_angle_beta 90.00
_cell_angle_gamma 90.00
_symmetry_space_group_name_H-M 'I 4/m m m'
_symmetry_Int_Tables_number 139
_symmetry_space_group_name_Hall '-I 4 2'
loop_
_atom_site_label
_atom_site_fract_x
_atom_site_fract_y
_atom_site_fract_z
Re1 0.0000 0.0000 0.0000
Ge1 0.0000 0.0000 0.5000
Pb1 0.0000 0.5000 0.2500
O1 0.0000 0.0000 0.2577
O2 0.2422 0.2422 0.5000
```

V in Å³ per cell: 246.03

=====

B.
The following is a PBE calculation of crystalline ReGePb2O6 at its relaxed geometry, from OQMD.

Geometry as CIF:
```
data_ReGePb2O6
_chemical_formula_sum 'Re2 Ge2 Pb4 O12'
_cell_length_a 9.6440
_cell_length_b 5.5537
_cell_length_c 5.6612
_cell_angle_alpha 90.00
_cell_angle_beta 125.71
_cell_angle_gamma 90.00
_symmetry_space_group_name_H-M 'C 1 2/m 1'
_symmetry_Int_Tables_number 12
_symmetry_space_group_name_Hall '-C 2y'
loop_
_atom_site_label
_atom_site_fract_x
_atom_site_fract_y
_atom_site_fract_z
Re1 0.0000 0.0000 0.0000
Ge1 0.0000 0.5000 0.5000
Pb1 0.2489 0.0000 0.7430
O1 0.0322 0.2535 0.2918
O2 0.2421 0.5000 0.7970
```

V in Å³ per cell: 246.21

=====

It is B that is the most stable of them.